1.
Density functional theory data (PBE) for a relaxed structure of Y2Sc.

## Properties
Space group ... Fd-3m (227)
Total magnetization ... 0.00 μB/f.u.

a b c (Å): 6.410 6.410 6.410
angles (deg): 60.00 60.00 60.00
Positions (direct):
Y: 0.625 0.625 0.625
Y: 0.125 0.625 0.625
Y: 0.625 0.125 0.625
Y: 0.625 0.625 0.125
Sc: 0.000 0.000 0.000
Sc: 0.250 0.250 0.250


2.
Density functional theory data (PBE) for a relaxed structure of Y2Sc.

## Properties
Space group ... I4/mmm (139)
Total magnetization ... 0.00 μB/f.u.

a b c (Å): 3.497 7.669 3.497
angles (deg): 76.82 90.00 103.18
Positions (direct):
Y: 0.339 0.679 0.661
Y: 0.661 0.321 0.339
Sc: 0.000 0.000 0.000


2 is preferred energetically. Next in line: 30.5 kJ/mol of atoms higher.


1.
Density functional theory data (PBE) for a relaxed structure of Y2Sc.

## Properties
Space group ... P-62m (189)
Total magnetization ... 0.89 μB/f.u.

a b c (Å): 9.443 9.443 3.492
angles (deg): 90.00 90.00 120.00
Positions (direct):
Sc: 0.000 0.000 0.500
Sc: 0.333 0.667 0.000
Sc: 0.667 0.333 0.000
Y: 0.000 0.302 0.000
Y: 0.000 0.635 0.500
Y: 0.302 0.000 0.000
Y: 0.698 0.698 0.000
Y: 0.635 0.000 0.500
Y: 0.365 0.365 0.500


2.
Density functional theory data (PBE) for a relaxed structure of Y2Sc.

## Properties
Space group ... C2/m (12)
Total magnetization ... 0.00 μB/f.u.

a b c (Å): 3.547 6.558 8.202
angles (deg): 77.59 90.00 105.69
Positions (direct):
Sc: 0.389 0.779 0.718
Sc: 0.333 0.666 0.337
Y: 0.997 0.993 0.996
Y: 0.674 0.347 0.663
Y: 0.049 0.097 0.393
Y: 0.725 0.451 0.059


2 is preferred energetically. Next in line: 1.8 kJ/mol of atoms higher.


1.
Density functional theory data (PBE) for a relaxed structure of YSc7.

## Properties
Space group ... Fm-3m (225)
Total magnetization ... 0.00 μB/f.u.

a b c (Å): 6.598 6.598 6.598
angles (deg): 60.00 60.00 60.00
Positions (direct):
Sc: 0.000 0.500 0.000
Sc: 0.000 0.500 0.500
Sc: 0.500 0.500 0.000
Sc: 0.500 0.000 0.500
Sc: 0.500 0.000 0.000
Sc: 0.000 0.000 0.500
Sc: 0.500 0.500 0.500
Y: 0.000 0.000 0.000


2.
Density functional theory data (PBE) for a relaxed structure of YSc7.

## Properties
Space group ... Immm (71)
Total magnetization ... 0.00 μB/f.u.

a b c (Å): 3.275 8.097 8.097
angles (deg): 78.74 78.34 78.34
Positions (direct):
Y: 0.000 0.000 0.000
Sc: 0.745 0.754 0.754
Sc: 0.255 0.246 0.246
Sc: 0.000 0.500 0.500
Sc: 0.634 0.596 0.136
Sc: 0.366 0.404 0.864
Sc: 0.366 0.864 0.404
Sc: 0.634 0.136 0.596


2 is preferred energetically. Next in line: 2.8 kJ/mol of atoms higher.


1.
Density functional theory data (PBE) for a relaxed structure of Y4Sc3.

## Properties
Space group ... P6/mmm (191)
Total magnetization ... 5.36 μB/f.u.

a b c (Å): 6.241 6.241 6.329
angles (deg): 90.00 90.00 120.00
Positions (direct):
Y: 0.000 0.000 0.256
Y: 0.000 0.000 0.744
Y: 0.667 0.333 0.500
Y: 0.333 0.667 0.500
Sc: 0.000 0.500 0.000
Sc: 0.500 0.500 0.000
Sc: 0.500 0.000 0.000


2.
Density functional theory data (PBE) for a relaxed structure of Y4Sc3.

## Properties
Space group ... C2/m (12)
Total magnetization ... 0.00 μB/f.u.

a b c (Å): 4.876 5.973 7.654
angles (deg): 82.90 90.00 114.09
Positions (direct):
Y: 0.431 0.862 0.728
Y: 0.144 0.289 0.576
Y: 0.856 0.711 0.424
Y: 0.569 0.138 0.272
Sc: 0.282 0.563 0.136
Sc: 0.000 0.000 0.000
Sc: 0.718 0.437 0.864


3.
Density functional theory data (PBE) for a relaxed structure of Y4Sc3.

## Properties
Space group ... R-3 (148)
Total magnetization ... 0.04 μB/f.u.

a b c (Å): 6.739 8.632 8.632
angles (deg): 113.48 105.08 105.08
Positions (direct):
Y: 0.500 0.000 0.000
Y: 0.000 0.000 0.000
Y: 0.959 0.695 0.554
Y: 0.406 0.446 0.142
Y: 0.264 0.858 0.305
Y: 0.041 0.305 0.446
Y: 0.594 0.554 0.858
Y: 0.736 0.142 0.695
Sc: 0.102 0.570 0.870
Sc: 0.232 0.130 0.700
Sc: 0.532 0.300 0.430
Sc: 0.898 0.430 0.130
Sc: 0.768 0.870 0.300
Sc: 0.468 0.700 0.570


2 is preferred energetically. Next in line: 2.2 kJ/mol of atoms higher.


1.
Density functional theory data (PBE) for a relaxed structure of Y3Sc5.

## Properties
Space group ... P4/mmm (123)
Total magnetization ... 0.00 μB/f.u.

a b c (Å): 3.405 3.405 18.832
angles (deg): 90.00 90.00 90.04
Positions (direct):
Y: 0.000 0.000 0.140
Y: 0.500 0.500 0.000
Y: 0.000 0.000 0.860
Sc: 0.500 0.500 0.731
Sc: 0.000 0.000 0.616
Sc: 0.500 0.500 0.500
Sc: 0.000 0.000 0.384
Sc: 0.500 0.500 0.269


2.
Density functional theory data (PBE) for a relaxed structure of Y3Sc5.

## Properties
Space group ... P6_3/mcm (193)
Total magnetization ... 2.33 μB/f.u.

a b c (Å): 9.090 9.089 6.208
angles (deg): 90.00 90.00 119.98
Positions (direct):
Y: 0.000 0.399 0.750
Y: 0.000 0.601 0.250
Y: 0.399 0.000 0.750
Y: 0.399 0.399 0.250
Y: 0.601 0.000 0.250
Y: 0.601 0.601 0.750
Sc: 0.000 0.228 0.250
Sc: 0.000 0.772 0.750
Sc: 0.228 0.000 0.250
Sc: 0.228 0.228 0.750
Sc: 0.333 0.667 0.000
Sc: 0.333 0.667 0.500
Sc: 0.667 0.333 0.000
Sc: 0.667 0.333 0.500
Sc: 0.772 0.000 0.750
Sc: 0.772 0.772 0.250


1 is preferred energetically. Next in line: 15.7 kJ/mol of atoms higher.


1.
Density functional theory data (PBE) for a relaxed structure of Y3Sc4.

## Properties
Space group ... I4/mmm (139)
Total magnetization ... 0.00 μB/f.u.

a b c (Å): 3.744 14.327 3.744
angles (deg): 82.49 90.00 97.51
Positions (direct):
Sc: 0.132 0.265 0.868
Sc: 0.425 0.850 0.575
Sc: 0.575 0.150 0.425
Sc: 0.868 0.735 0.132
Y: 0.000 0.000 0.000
Y: 0.295 0.591 0.705
Y: 0.705 0.409 0.295


2.
Density functional theory data (PBE) for a relaxed structure of Y3Sc4.

## Properties
Space group ... C2/m (12)
Total magnetization ... 0.00 μB/f.u.

a b c (Å): 4.841 7.634 5.834
angles (deg): 97.99 114.51 90.00
Positions (direct):
Y: 0.000 0.000 0.000
Y: 0.575 0.716 0.151
Y: 0.425 0.284 0.849
Sc: 0.856 0.566 0.711
Sc: 0.144 0.434 0.289
Sc: 0.713 0.149 0.426
Sc: 0.287 0.851 0.574


2 is preferred energetically. Next in line: 1.5 kJ/mol of atoms higher.


1.
Density functional theory data (PBE) for a relaxed structure of Y2Sc3.

## Properties
Space group ... Fdd2 (43)
Total magnetization ... 0.00 μB/f.u.

a b c (Å): 3.298 5.827 15.010
angles (deg): 88.22 83.69 73.56
Positions (direct):
Y: 0.395 0.460 0.896
Y: 0.752 0.540 0.104
Y: 0.041 0.960 0.604
Y: 0.605 0.040 0.396
Sc: 0.566 0.931 0.804
Sc: 0.301 0.069 0.196
Sc: 0.119 0.431 0.696
Sc: 0.247 0.569 0.304
Sc: 0.987 0.000 0.000
Sc: 0.737 0.500 0.500


2.
Density functional theory data (PBE) for a relaxed structure of Y2Sc3.

## Properties
Space group ... I4/mmm (139)
Total magnetization ... 0.00 μB/f.u.

a b c (Å): 12.062 3.410 3.410
angles (deg): 90.00 98.13 81.87
Positions (direct):
Sc: 0.016 0.992 0.008
Sc: 0.200 0.400 0.600
Sc: 0.384 0.808 0.192
Y: 0.588 0.206 0.794
Y: 0.812 0.594 0.406


2 is preferred energetically. Next in line: 5.8 kJ/mol of atoms higher.


1.
Density functional theory data (PBE) for a relaxed structure of YScZn.

## Properties
Space group ... Pnma (62)
Total magnetization ... 0.00 μB/f.u.

a b c (Å): 6.300 4.984 8.884
angles (deg): 90.00 90.00 90.00
Positions (direct):
Y: 0.179 0.250 0.421
Y: 0.321 0.750 0.921
Y: 0.821 0.750 0.579
Y: 0.679 0.250 0.079
Sc: 0.014 0.250 0.799
Sc: 0.486 0.750 0.299
Sc: 0.986 0.750 0.201
Sc: 0.514 0.250 0.701
Zn: 0.705 0.250 0.406
Zn: 0.795 0.750 0.906
Zn: 0.295 0.750 0.594
Zn: 0.205 0.250 0.094


2.
Density functional theory data (PBE) for a relaxed structure of YScZn.

## Properties
Space group ... P6_3/mmc (194)
Total magnetization ... 0.00 μB/f.u.

a b c (Å): 5.063 5.063 6.020
angles (deg): 90.00 90.00 120.00
Positions (direct):
Y: 0.333 0.667 0.750
Y: 0.667 0.333 0.250
Sc: 0.333 0.667 0.250
Sc: 0.667 0.333 0.750
Zn: 0.000 0.000 0.000
Zn: 0.000 0.000 0.500


1 is preferred energetically. Next in line: 36.7 kJ/mol of atoms higher.


1.
Density functional theory data (PBE) for a relaxed structure of YScZn.

## Properties
Space group ... C2/m (12)
Total magnetization ... 0.00 μB/f.u.

a b c (Å): 7.695 3.459 6.443
angles (deg): 74.43 68.46 63.32
Positions (direct):
Sc: 0.937 0.194 0.274
Sc: 0.797 0.041 0.858
Y: 0.444 0.685 0.278
Y: 0.290 0.551 0.854
Zn: 0.090 0.399 0.558
Zn: 0.644 0.837 0.573


2.
Density functional theory data (PBE) for a relaxed structure of YScZn.

## Properties
Space group ... P3m1 (156)
Total magnetization ... 0.57 μB/f.u.

a b c (Å): 4.809 4.809 3.643
angles (deg): 90.00 90.00 120.00
Positions (direct):
Sc: 0.000 0.000 0.849
Y: 0.667 0.333 0.341
Zn: 0.333 0.667 0.811


1 is preferred energetically. Next in line: 11.9 kJ/mol of atoms higher.


1.
Density functional theory data (PBE) for a relaxed structure of YScZn3.

## Properties
Space group ... Pm-3m (221)
Total magnetization ... 0.00 μB/f.u.

a b c (Å): 5.209 5.209 5.209
angles (deg): 90.00 90.00 90.00
Positions (direct):
Y: 0.000 0.000 0.000
Sc: 0.500 0.500 0.500
Zn: 0.000 0.500 0.000
Zn: 0.000 0.000 0.500
Zn: 0.500 0.000 0.000


2.
Density functional theory data (PBE) for a relaxed structure of YScZn3.

## Properties
Space group ... C2/m (12)
Total magnetization ... 0.00 μB/f.u.

a b c (Å): 4.369 5.467 8.843
angles (deg): 102.40 104.30 90.00
Positions (direct):
Y: 0.428 0.697 0.856
Y: 0.572 0.303 0.144
Sc: 0.223 0.676 0.446
Sc: 0.777 0.324 0.554
Zn: 0.946 0.245 0.891
Zn: 0.054 0.755 0.109
Zn: 0.647 0.854 0.295
Zn: 0.353 0.146 0.705
Zn: 0.824 0.852 0.648
Zn: 0.176 0.148 0.352


3.
Density functional theory data (PBE) for a relaxed structure of YScZn3.

## Properties
Space group ... Pm-3m (221)
Total magnetization ... 0.00 μB/f.u.

a b c (Å): 4.967 4.967 4.967
angles (deg): 90.00 90.00 90.00
Positions (direct):
Y: 0.500 0.500 0.500
Sc: 0.000 0.000 0.000
Zn: 0.000 0.500 0.000
Zn: 0.000 0.000 0.500
Zn: 0.500 0.000 0.000


2 is preferred energetically. Next in line: 67.5 kJ/mol of atoms higher.


1.
Density functional theory data (PBE) for a relaxed structure of YZrSc6.

## Properties
Space group ... P-6m2 (187)
Total magnetization ... 0.00 μB/f.u.

a b c (Å): 5.192 6.683 6.683
angles (deg): 120.01 90.00 90.00
Positions (direct):
Y: 0.000 0.083 0.917
Zr: 0.500 0.417 0.583
Sc: 0.000 0.089 0.420
Sc: 0.000 0.580 0.911
Sc: 0.000 0.580 0.420
Sc: 0.500 0.424 0.087
Sc: 0.500 0.913 0.576
Sc: 0.500 0.913 0.087


2.
Density functional theory data (PBE) for a relaxed structure of YZrSc6.

## Properties
Space group ... C2/m (12)
Total magnetization ... 0.00 μB/f.u.

a b c (Å): 6.781 6.023 6.111
angles (deg): 85.56 56.30 81.99
Positions (direct):
Y: 0.000 0.000 0.000
Zr: 0.000 0.500 0.000
Sc: 0.086 0.724 0.455
Sc: 0.540 0.724 0.545
Sc: 0.460 0.276 0.455
Sc: 0.914 0.276 0.545
Sc: 0.590 0.742 0.000
Sc: 0.410 0.258 0.000


1 is preferred energetically. Next in line: 17.8 kJ/mol of atoms higher.